Material: CeDyGaIr
Method: DFT, PBE
State: relaxed

Results
* calculated density: 10596 kg/m³
* E: -6.19 eV/atom
* SG: F-43m, No. 216

Cell: 5.002 5.002 5.002 Å, 60.00 60.00 60.00°
Site moments in Bohr magnetons follow the coordinates.
Sites, in units of the cell vectors:
Ga: 0.750 0.750 0.750  0.00
Ir: 0.250 0.250 0.250  -0.01
Ce: 0.500 0.500 0.500  0.14
Dy: 0.000 0.000 0.000  0.00

=====

Material: LiCeDyGa
Method: DFT, PBE
State: relaxed

Results
* calculated density: 6606 kg/m³
* E: -4.08 eV/atom
* SG: F-43m, No. 216

Cell: 5.128 5.128 5.128 Å, 60.00 60.00 60.00°
Site moments in Bohr magnetons follow the coordinates.
Sites, in units of the cell vectors:
Li: 0.750 0.750 0.750  0.01
Ga: 0.250 0.250 0.250  -0.03
Dy: 0.500 0.500 0.500  0.03
Ce: 0.000 0.000 0.000  0.64

=====

Material: CeDyLuGa
Method: DFT, PBE
State: relaxed

Results
* calculated density: 8760 kg/m³
* E: -4.62 eV/atom
* SG: F-43m, No. 216

Cell: 5.274 5.274 5.274 Å, 60.00 60.00 60.00°
Site moments in Bohr magnetons follow the coordinates.
Sites, in units of the cell vectors:
Dy: 0.500 0.500 0.500  0.06
Ce: 0.000 0.000 0.000  0.41
Ga: 0.250 0.250 0.250  -0.01
Lu: 0.750 0.750 0.750  0.12

=====

Material: CeDyGaNi
Method: DFT, PBE
State: relaxed

Results
* calculated density: 8180 kg/m³
* E: -5.19 eV/atom
* SG: F-43m, No. 216

Cell: 4.983 4.983 4.983 Å, 60.00 60.00 60.00°
Site moments in Bohr magnetons follow the coordinates.
Sites, in units of the cell vectors:
Dy: 0.500 0.500 0.500  0.01
Ni: 0.750 0.750 0.750  -0.07
Ce: 0.000 0.000 0.000  0.36
Ga: 0.250 0.250 0.250  -0.01

=====

Material: CeDyGaPd
Method: DFT, PBE
State: relaxed

Results
* calculated density: 8571 kg/m³
* E: -5.27 eV/atom
* SG: F-43m, No. 216

Cell: 5.081 5.081 5.081 Å, 60.00 60.00 60.00°
Site moments in Bohr magnetons follow the coordinates.
Sites, in units of the cell vectors:
Dy: 0.500 0.500 0.500  0.00
Pd: 0.750 0.750 0.750  -0.03
Ga: 0.250 0.250 0.250  -0.01
Ce: 0.000 0.000 0.000  0.52

=====

Material: Ce2Dy2Ga4Pd
Method: DFT, PBE
State: relaxed

Results
* calculated density: 7628 kg/m³
* E: -4.67 eV/atom
* SG: I4/mmm, No. 139

Cell: 6.554 6.554 6.554 Å, 104.76 111.88 111.88°
Site moments in Bohr magnetons follow the coordinates.
Sites, in units of the cell vectors:
Ce: 0.000 0.331 0.331  0.60
Ce: 0.000 0.669 0.669  0.60
Ga: 0.480 0.240 0.240  0.00
Ga: 0.000 0.240 0.760  0.00
Ga: 0.520 0.760 0.760  0.00
Ga: 0.000 0.760 0.240  0.00
Dy: 0.500 0.750 0.250  0.07
Dy: 0.500 0.250 0.750  0.07
Pd: 0.000 0.000 0.000  -0.02

=====

Material: CeDyGa2Pd5
Method: DFT, PBE
State: relaxed

Results
* calculated density: 9780 kg/m³
* E: -5.50 eV/atom
* SG: P4/mmm, No. 123

Cell: 4.227 4.227 9.258 Å, 90.00 90.00 90.00°
Site moments in Bohr magnetons follow the coordinates.
Sites, in units of the cell vectors:
Pd: 0.500 0.000 0.279  -0.01
Pd: 0.500 0.500 0.500  -0.01
Pd: 0.500 0.000 0.721  -0.01
Pd: 0.000 0.500 0.721  -0.01
Pd: 0.000 0.500 0.279  -0.01
Ga: 0.500 0.500 0.867  0.00
Ga: 0.500 0.500 0.133  0.00
Dy: 0.000 0.000 0.000  0.00
Ce: 0.000 0.000 0.500  0.31

=====

Material: CePrDyGa
Method: DFT, PBE
State: relaxed

Results
* calculated density: 7956 kg/m³
* E: -4.63 eV/atom
* SG: F-43m, No. 216

Cell: 5.331 5.331 5.331 Å, 60.00 60.00 60.00°
Sites, in units of the cell vectors:
Pr: 0.500 0.500 0.500
Dy: 0.000 0.000 0.000
Ga: 0.250 0.250 0.250
Ce: 0.750 0.750 0.750

=====

no.,formation enthalpy at 0 K (meV per atom),magnetic moment (μB per cell)
1,-583,0.1
2,-215,0.8
3,-94,0.7
4,-354,0.3
5,-586,0.5
6,-404,1.6
7,-773,0.3
8,-40,0.0